[1]
! LaTl2Fe PBE-GGA relaxed; values from VASP
! - DFT total energy (eV per atom) = -4.40
! - formation energy from the elements (eV per atom) = 0.126
! - crystal system = orthorhombic
&SYSTEM
  ibrav = 0, nat = 4, ntyp = 3
/
ATOMIC_SPECIES
Fe 55.84 Fe.upf
La 138.91 La.upf
Tl 204.38 Tl.upf
CELL_PARAMETERS angstrom
4.5369 0.0000 0.0000
0.0000 5.1671 0.0781
0.0000 2.4669 4.5414
ATOMIC_POSITIONS crystal
Fe 0.5000 0.2500 0.2500
La 0.5000 0.7500 0.7500
Tl 0.0000 0.0800 0.0800
Tl 0.0000 0.4200 0.4200


[2]
! La2TlFe PBE-GGA relaxed; values from VASP
! - DFT total energy (eV per atom) = -5.12
! - formation energy from the elements (eV per atom) = 0.047
! - crystal system = trigonal
&SYSTEM
  ibrav = 0, nat = 4, ntyp = 3
/
ATOMIC_SPECIES
Fe 55.84 Fe.upf
La 138.91 La.upf
Tl 204.38 Tl.upf
CELL_PARAMETERS angstrom
3.9553 -0.0516 0.0363
2.0211 3.4003 0.0363
1.9137 1.0723 8.5639
ATOMIC_POSITIONS crystal
Fe 0.2500 0.2500 0.2500
La 0.9776 0.9776 0.0667
La 0.5224 0.5224 0.4333
Tl 0.7500 0.7500 0.7500


D(E_F)? In order: 2.232 4.856 states/eV/cell.